Record 1
A plane-wave DFT calculation with PBE-GGA was carried out for crystalline NbTe2Se at its relaxed geometry.

The value obtained for the density of states at the Fermi level is 15.30 states/eV per cell. The total DFT energy (no corrections) comes out at -4.257 eV per atom. The calculation puts the formation energy from raw total energies at 0.70 eV/atom. As for the crystal system: trigonal.

It has space group R-3m (No. 166, hexagonal axes), with a = 3.4068 Å, b = 3.4068 Å, c = 29.7929 Å, α = 90.00°, β = 90.00° and γ = 120.00°. The distinct sites, in fractional coordinates, are Nb at (0.0000, 0.0000, 0.0000), Te at (0.0000, 0.0000, 0.0916) and Se at (0.0000, 0.0000, 0.5000).


Record 2
A plane-wave DFT calculation with PBE-GGA was carried out for crystalline NbTeSe3 at its relaxed geometry.

The value obtained for the density of states at the Fermi level is 6.04 states/eV per cell. The value obtained for the energy above the most stable polymorph in this dataset is 0.00 eV/f.u. The total DFT energy (no corrections) comes out at -5.107 eV per atom. The calculation puts the formation energy from raw total energies at -0.37 eV/atom. As for the crystal system: monoclinic.

It has space group P2_1/m (No. 11), with a = 8.8887 Å, b = 3.5519 Å, c = 8.9099 Å, α = 90.00°, β = 97.91° and γ = 90.00°. The distinct sites, in fractional coordinates, are Nb at (0.1213, 0.2500, 0.1326), Te at (0.4092, 0.2500, 0.5967), Se at (0.0920, 0.2500, 0.8357), Se at (0.1487, 0.2500, 0.4286) and Se at (0.3303, 0.7500, 0.1341).


Record 3
A plane-wave DFT calculation with PBE-GGA was carried out for crystalline Nb2TeSe5 at its relaxed geometry.

The value obtained for the density of states at the Fermi level is 11.97 states/eV per cell. The total DFT energy (no corrections) comes out at -5.285 eV per atom. The calculation puts the formation energy from raw total energies at -0.20 eV/atom. As for the crystal system: orthorhombic.

It has space group Immm (No. 71), with a = 4.3277 Å, b = 8.2111 Å, c = 9.9913 Å, α = 90.00°, β = 90.00° and γ = 90.00°. The distinct sites, in fractional coordinates, are Nb at (0.0000, 0.0000, 0.2490), Te at (0.0000, 0.5000, 0.0000), Se at (0.0000, 0.0000, 0.0000) and Se at (0.0000, 0.3098, 0.3322).


Record 4
A plane-wave DFT calculation with PBE-GGA was carried out for crystalline NbTeSe3 at its relaxed geometry.

The value obtained for the density of states at the Fermi level is 6.21 states/eV per cell. The value obtained for the energy above the most stable polymorph in this dataset is 2.03 eV/f.u. The total DFT energy (no corrections) comes out at -4.701 eV per atom. The calculation puts the formation energy from raw total energies at 0.03 eV/atom. As for the crystal system: cubic.

It has space group Pm-3m (No. 221), with a = 5.0556 Å, b = 5.0556 Å, c = 5.0556 Å, α = 90.00°, β = 90.00° and γ = 90.00°. The distinct sites, in fractional coordinates, are Nb at (0.0000, 0.0000, 0.0000), Te at (0.5000, 0.5000, 0.5000) and Se at (0.0000, 0.0000, 0.5000).


Record 5
A plane-wave DFT calculation with PBE-GGA was carried out for crystalline NbTeSe at its relaxed geometry.

The value obtained for the density of states at the Fermi level is 8.97 states/eV per cell. The value obtained for the energy above the most stable polymorph in this dataset is 0.70 eV/f.u. The total DFT energy (no corrections) comes out at -5.953 eV per atom. The calculation puts the formation energy from raw total energies at -0.39 eV/atom. As for the crystal system: orthorhombic.

It has space group Pnma (No. 62), with a = 7.9514 Å, b = 3.4904 Å, c = 9.3097 Å, α = 90.00°, β = 90.00° and γ = 90.00°. The distinct sites, in fractional coordinates, are Nb at (0.1700, 0.2500, 0.1657), Te at (0.0369, 0.2500, 0.6557) and Se at (0.1530, 0.7500, 0.9446).


Record 6
A plane-wave DFT calculation with PBE-GGA was carried out for crystalline NbTeSe at its relaxed geometry.

The value obtained for the density of states at the Fermi level is 5.14 states/eV per cell. The value obtained for the energy above the most stable polymorph in this dataset is 0.46 eV/f.u. The total DFT energy (no corrections) comes out at -6.035 eV per atom. The calculation puts the formation energy from raw total energies at -0.47 eV/atom. As for the crystal system: tetragonal.

It has space group I4mm (No. 107), with a = 3.2664 Å, b = 3.2664 Å, c = 13.5229 Å, α = 90.00°, β = 90.00° and γ = 90.00°. The distinct sites, in fractional coordinates, are Nb at (0.0000, 0.0000, 0.0000), Te at (0.0000, 0.0000, 0.3609) and Se at (0.0000, 0.0000, 0.6082).


Record 7
A plane-wave DFT calculation with PBE-GGA was carried out for crystalline Nb2TeSe at its relaxed geometry.

The value obtained for the density of states at the Fermi level is 2.74 states/eV per cell. The value obtained for the energy above the most stable polymorph in this dataset is 0.00 eV/f.u. The total DFT energy (no corrections) comes out at -7.051 eV per atom. The calculation puts the formation energy from raw total energies at -0.36 eV/atom. As for the crystal system: orthorhombic.

It has space group Pmm2 (No. 25), with a = 3.5509 Å, b = 3.5996 Å, c = 6.2687 Å, α = 90.00°, β = 90.00° and γ = 90.00°. The distinct sites, in fractional coordinates, are Nb at (0.0000, 0.0000, 0.0000), Nb at (0.5000, 0.0000, 0.4311), Te at (0.5000, 0.5000, 0.7934) and Se at (0.0000, 0.5000, 0.3030).


Record 8
A plane-wave DFT calculation with PBE-GGA was carried out for crystalline TiNb2Te4Se2 at its relaxed geometry.

The value obtained for the density of states at the Fermi level is 8.91 states/eV per cell. The total DFT energy (no corrections) comes out at -5.899 eV per atom. The calculation puts the formation energy from raw total energies at -0.61 eV/atom. As for the crystal system: trigonal.

It has space group P3m1 (No. 156), with a = 3.6164 Å, b = 3.6164 Å, c = 22.0063 Å, α = 90.00°, β = 90.00° and γ = 120.00°. The distinct sites, in fractional coordinates, are Ti at (0.0000, 0.0000, 0.0000), Nb at (0.0000, 0.0000, 0.6515), Nb at (0.6667, 0.3333, 0.3158), Te at (0.0000, 0.0000, 0.2304), Te at (0.0000, 0.0000, 0.4014), Te at (0.6667, 0.3333, 0.5662), Te at (0.6667, 0.3333, 0.7373), Se at (0.6667, 0.3333, 0.0725) and Se at (0.6667, 0.3333, 0.9282).


Record 9
A plane-wave DFT calculation with PBE-GGA was carried out for crystalline TiNb2TeSe at its relaxed geometry.

The value obtained for the density of states at the Fermi level is 7.54 states/eV per cell. The total DFT energy (no corrections) comes out at -5.967 eV per atom. The calculation puts the formation energy from raw total energies at 0.97 eV/atom. As for the crystal system: tetragonal.

It has space group P4/mmm (No. 123), with a = 4.7233 Å, b = 4.7233 Å, c = 5.4740 Å, α = 90.00°, β = 90.00° and γ = 90.00°. The distinct sites, in fractional coordinates, are Ti at (0.0000, 0.0000, 0.0000), Nb at (0.0000, 0.5000, 0.5000), Te at (0.5000, 0.5000, 0.0000) and Se at (0.5000, 0.5000, 0.5000).


Record 10
A plane-wave DFT calculation with PBE-GGA was carried out for crystalline Nb2TlTeSe at its relaxed geometry.

The value obtained for the density of states at the Fermi level is 6.42 states/eV per cell. The total DFT energy (no corrections) comes out at -4.050 eV per atom. The calculation puts the formation energy from raw total energies at 1.78 eV/atom. As for the crystal system: tetragonal.

It has space group P4/mmm (No. 123), with a = 5.4202 Å, b = 5.4202 Å, c = 5.3765 Å, α = 90.00°, β = 90.00° and γ = 90.00°. The distinct sites, in fractional coordinates, are Nb at (0.0000, 0.5000, 0.0000), Tl at (0.0000, 0.0000, 0.0000), Te at (0.0000, 0.0000, 0.5000) and Se at (0.5000, 0.5000, 0.5000).


Record 11
A plane-wave DFT calculation with PBE-GGA was carried out for crystalline Nb2VTe2Se4 at its relaxed geometry.

The value obtained for the density of states at the Fermi level is 8.59 states/eV per cell. The total DFT energy (no corrections) comes out at -6.167 eV per atom. The calculation puts the formation energy from raw total energies at -0.67 eV/atom. As for the crystal system: trigonal.

It has space group P3m1 (No. 156), with a = 3.5157 Å, b = 3.5157 Å, c = 21.9347 Å, α = 90.00°, β = 90.00° and γ = 120.00°. The distinct sites, in fractional coordinates, are Nb at (0.0000, 0.0000, 0.0000), Nb at (0.3333, 0.6667, 0.3187), V at (0.3333, 0.6667, 0.6742), Te at (0.0000, 0.0000, 0.5929), Te at (0.0000, 0.0000, 0.7556), Se at (0.0000, 0.0000, 0.2426), Se at (0.0000, 0.0000, 0.3950), Se at (0.3333, 0.6667, 0.0762) and Se at (0.3333, 0.6667, 0.9237).


Record 12
A plane-wave DFT calculation with PBE-GGA was carried out for crystalline Nb2VTe4Se2 at its relaxed geometry.

The value obtained for the density of states at the Fermi level is 8.85 states/eV per cell. The total DFT energy (no corrections) comes out at -5.910 eV per atom. The calculation puts the formation energy from raw total energies at -0.49 eV/atom. As for the crystal system: trigonal.

It has space group P3m1 (No. 156), with a = 3.5669 Å, b = 3.5669 Å, c = 22.3670 Å, α = 90.00°, β = 90.00° and γ = 120.00°. The distinct sites, in fractional coordinates, are Nb at (0.0000, 0.0000, 0.0000), Nb at (0.3333, 0.6667, 0.3319), V at (0.3333, 0.6667, 0.6824), Te at (0.0000, 0.0000, 0.2471), Te at (0.0000, 0.0000, 0.4175), Te at (0.3333, 0.6667, 0.0849), Te at (0.3333, 0.6667, 0.9146), Se at (0.0000, 0.0000, 0.6133) and Se at (0.0000, 0.0000, 0.7516).